First-principles (PBE-GGA) data for TmTl5Te4 after structural relaxation, as listed in Alexandria.

```
data_TmTl5Te4
_cell_length_a 20.075
_cell_length_b 4.589
_cell_length_c 8.984
_cell_angle_alpha 90.00
_cell_angle_beta 116.23
_cell_angle_gamma 90.00
_symmetry_space_group_name_H-M 'C 1 2/m 1'
_symmetry_Int_Tables_number 12
_symmetry_space_group_name_Hall '-C 2y'
loop_
_atom_site_label
_atom_site_fract_x
_atom_site_fract_y
_atom_site_fract_z
Tm1 0.000 0.000 0.000
Tl1 0.000 0.000 0.500
Tl2 0.149 0.500 0.787
Tl3 0.205 0.500 0.326
Te1 0.037 0.500 0.258
Te2 0.161 0.000 0.047
```

## Properties
Formation energy without anion corrections: -54 kJ per mole of atoms

First-principles (PBE-GGA) data for Cs3PdF5 after structural relaxation, as listed in Alexandria.

```
data_Cs3PdF5
_cell_length_a 8.042
_cell_length_b 8.042
_cell_length_c 6.765
_cell_angle_alpha 90.00
_cell_angle_beta 90.00
_cell_angle_gamma 90.00
_symmetry_space_group_name_H-M 'P 4/m b m'
_symmetry_Int_Tables_number 127
_symmetry_space_group_name_Hall '-P 4 2ab'
loop_
_atom_site_label
_atom_site_fract_x
_atom_site_fract_y
_atom_site_fract_z
Cs1 0.000 0.000 0.000
Cs2 0.179 0.321 0.500
Pd1 0.000 0.500 0.000
F1 0.000 0.000 0.500
F2 0.126 0.626 0.206
```

## Properties
ΔE to the lowest computed polymorph: 0.00 eV per formula unit
Formation energy without anion corrections: -220 kJ per mole of atoms